# SCAN K2BaLa, single point on PBEsol structure
# Energy relative to the lowest polymorph listed for this composition = 0.0 kJ/mol of atoms
# Energy = -98.5 eV/f.u.
# Energy relative to the elements = 19 kJ per mole of atoms
# DOS(E_F) = 0.776 states/eV/atom
data_K2BaLa
_cell_length_a 3.9641
_cell_length_b 3.9774
_cell_length_c 13.3298
_cell_angle_alpha 90.00
_cell_angle_beta 90.00
_cell_angle_gamma 90.00
_space_group_name_H-M_alt 'P m m 2'
_space_group_IT_number 25
loop_
_space_group_symop_operation_xyz
'x,y,z'
'-x,-y,z'
'-x,y,z'
'x,-y,z'
loop_
_atom_site_label
_atom_site_type_symbol
_atom_site_fract_x
_atom_site_fract_y
_atom_site_fract_z
K1 K 0.0000 0.0000 0.0000
K2 K 0.5000 0.5000 0.2837
Ba1 Ba 0.0000 0.0000 0.5520
La1 La 0.5000 0.5000 0.7591